Record 1
Here is a relaxed structure of IrPb2Br from Alexandria via LeMat-Bulk. Energies are from GGA-PBE.

- excess energy over the best structure of this formula in the dataset (eV per atom) = 0.0985
- raw formation energy (eV per atom) = 0.07

Unit cell a=8.2834 b=8.2834 c=3.9667 alpha=90.34 beta=90.34 gamma=25.29
Element x y z (fractional)
1 Pb 0.9276 0.9276 0.1271
2 Pb 0.7372 0.7372 0.6196
3 Ir 0.2938 0.2938 0.1209
4 Br 0.5415 0.5415 0.6323

***

Record 2
Here is a relaxed structure of IrPbBr2 from Alexandria via LeMat-Bulk. Energies are from GGA-PBE.

- excess energy over the best structure of this formula in the dataset (eV per atom) = 0.6182
- raw formation energy (eV per atom) = 0.66

Unit cell a=4.9099 b=4.9100 c=3.8103 alpha=90.00 beta=90.00 gamma=89.99
Element x y z (fractional)
1 Pb 0.0000 0.5000 0.5000
2 Ir 0.5000 0.0000 0.5000
3 Br 0.0000 0.0000 0.0000
4 Br 0.5000 0.5000 0.0000

***

Record 3
Here is a relaxed structure of IrPb2Br from Alexandria via LeMat-Bulk. Energies are from GGA-PBE.

- excess energy over the best structure of this formula in the dataset (eV per atom) = 0.4052
- raw formation energy (eV per atom) = 0.38

Unit cell a=3.5612 b=3.5612 c=7.9237 alpha=90.00 beta=90.00 gamma=90.00
Element x y z (fractional)
1 Pb 0.0000 0.0000 0.9460
2 Pb 0.5000 0.5000 0.2416
3 Ir 0.5000 0.5000 0.7943
4 Br 0.0000 0.0000 0.5182

***

Record 4
Here is a relaxed structure of Ir2PbBr from Alexandria via LeMat-Bulk. Energies are from GGA-PBE.

- excess energy over the best structure of this formula in the dataset (eV per atom) = 0.5569
- raw formation energy (eV per atom) = 1.01

Unit cell a=4.7292 b=4.7292 c=4.7292 alpha=60.00 beta=60.00 gamma=60.00
Element x y z (fractional)
1 Pb 0.5000 0.5000 0.5000
2 Ir 0.2500 0.2500 0.2500
3 Ir 0.7500 0.7500 0.7500
4 Br 0.0000 0.0000 0.0000

***

Record 5
Here is a relaxed structure of Ir2PbBr from Alexandria via LeMat-Bulk. Energies are from GGA-PBE.

- excess energy over the best structure of this formula in the dataset (eV per atom) = 0.5639
- raw formation energy (eV per atom) = 1.01

Unit cell a=4.7842 b=4.7842 c=4.7842 alpha=60.00 beta=60.00 gamma=60.00
Element x y z (fractional)
1 Pb 0.2500 0.2500 0.2500
2 Ir 0.0000 0.0000 0.0000
3 Ir 0.7500 0.7500 0.7500
4 Br 0.5000 0.5000 0.5000

***

Record 6
Here is a relaxed structure of Ir2PbBr from Alexandria via LeMat-Bulk. Energies are from GGA-PBE.

- excess energy over the best structure of this formula in the dataset (eV per atom) = 0.5677
- raw formation energy (eV per atom) = 1.02

Unit cell a=3.7318 b=4.4636 c=4.4636 alpha=90.00 beta=90.00 gamma=90.00
Element x y z (fractional)
1 Pb 0.5000 0.5000 0.0000
2 Ir 0.0000 0.0000 0.0000
3 Ir 0.0000 0.5000 0.5000
4 Br 0.5000 0.0000 0.5000

***

Record 7
Here is a relaxed structure of IrPbBr2 from Alexandria via LeMat-Bulk. Energies are from GGA-PBE.

- excess energy over the best structure of this formula in the dataset (eV per atom) = 0.1787
- raw formation energy (eV per atom) = 0.22

Unit cell a=8.4058 b=8.4058 c=4.0569 alpha=76.26 beta=76.26 gamma=23.72
Element x y z (fractional)
1 Pb 0.1793 0.1793 0.3217
2 Ir 0.5327 0.5327 0.4654
3 Br 0.0061 0.0061 0.9917
4 Br 0.7819 0.7819 0.7212

***

Record 8
Here is a relaxed structure of IrPb2Br from Alexandria via LeMat-Bulk. Energies are from GGA-PBE.

- excess energy over the best structure of this formula in the dataset (eV per atom) = 0.5125
- raw formation energy (eV per atom) = 0.48

Unit cell a=6.8176 b=6.8176 c=6.8176 alpha=144.80 beta=144.80 gamma=50.63
Element x y z (fractional)
1 Pb 0.0000 0.0000 0.0000
2 Pb 0.2500 0.7500 0.5000
3 Ir 0.7500 0.2500 0.5000
4 Br 0.5000 0.5000 0.0000

***

Record 9
Here is a relaxed structure of Ir2PbBr from Alexandria via LeMat-Bulk. Energies are from GGA-PBE.

- excess energy over the best structure of this formula in the dataset (eV per atom) = 0.5575
- raw formation energy (eV per atom) = 1.01

Unit cell a=4.8965 b=4.8965 c=3.1574 alpha=90.00 beta=90.00 gamma=98.89
Element x y z (fractional)
1 Pb 0.5000 0.0000 0.5000
2 Ir 0.0000 0.0000 0.0000
3 Ir 0.5000 0.5000 0.0000
4 Br 0.0000 0.5000 0.5000

***

Record 10
Here is a relaxed structure of IrPbBr4 from Alexandria via LeMat-Bulk. Energies are from GGA-PBE.

- raw formation energy (eV per atom) = 1.10

Unit cell a=6.2209 b=6.2209 c=6.2209 alpha=60.00 beta=60.00 gamma=60.00
Element x y z (fractional)
1 Ir 0.7500 0.7500 0.7500
2 Pb 0.0000 0.0000 0.0000
3 Br 0.8708 0.3764 0.3764
4 Br 0.3764 0.3764 0.8708
5 Br 0.3764 0.8708 0.3764
6 Br 0.3764 0.3764 0.3764

***

Record 11
Here is a relaxed structure of Ir2PbBr from Alexandria via LeMat-Bulk. Energies are from GGA-PBE.

- excess energy over the best structure of this formula in the dataset (eV per atom) = 0.1184
- raw formation energy (eV per atom) = 0.57

Unit cell a=5.0825 b=5.0825 c=8.5415 alpha=51.74 beta=51.74 gamma=35.90
Element x y z (fractional)
1 Pb 0.7500 0.7500 0.7500
2 Ir 0.9384 0.9384 0.9055
3 Ir 0.5616 0.5616 0.5945
4 Br 0.2500 0.2500 0.2500

***

Record 12
Here is a relaxed structure of IrPbBr2 from Alexandria via LeMat-Bulk. Energies are from GGA-PBE.

- excess energy over the best structure of this formula in the dataset (eV per atom) = 0.5907
- raw formation energy (eV per atom) = 0.63

Unit cell a=6.3419 b=6.3419 c=6.3419 alpha=141.85 beta=141.85 gamma=55.05
Element x y z (fractional)
1 Pb 0.7500 0.2500 0.5000
2 Ir 0.5000 0.5000 0.0000
3 Br 0.0000 0.0000 0.0000
4 Br 0.2500 0.7500 0.5000

***

Record 13
Here is a relaxed structure of Ir2PbBr from Alexandria via LeMat-Bulk. Energies are from GGA-PBE.

- excess energy over the best structure of this formula in the dataset (eV per atom) = 0.2567
- raw formation energy (eV per atom) = 0.71

Unit cell a=6.6979 b=6.6979 c=6.6979 alpha=154.31 beta=141.23 gamma=47.10
Element x y z (fractional)
1 Pb 0.5417 0.5417 0.0000
2 Ir 0.9430 0.9430 0.0000
3 Ir 0.7611 0.2611 0.5000
4 Br 0.2542 0.7542 0.5000

***

Record 14
Here is a relaxed structure of IrPbBr2 from Alexandria via LeMat-Bulk. Energies are from GGA-PBE.

- excess energy over the best structure of this formula in the dataset (eV per atom) = 0.2876
- raw formation energy (eV per atom) = 0.33

Unit cell a=3.5490 b=3.5490 c=8.2140 alpha=90.00 beta=90.00 gamma=93.16
Element x y z (fractional)
1 Pb 0.5000 0.5000 0.7280
2 Ir 0.0000 0.0000 0.4520
3 Br 0.0000 0.0000 0.9655
4 Br 0.5000 0.5000 0.3545

***

Record 15
Here is a relaxed structure of Ir2PbBr from Alexandria via LeMat-Bulk. Energies are from GGA-PBE.

- excess energy over the best structure of this formula in the dataset (eV per atom) = 0.1936
- raw formation energy (eV per atom) = 0.64

Unit cell a=7.2822 b=7.2822 c=3.9702 alpha=87.50 beta=87.50 gamma=25.05
Element x y z (fractional)
1 Pb 0.4390 0.4390 0.4691
2 Ir 0.0271 0.0271 0.9515
3 Ir 0.8387 0.8387 0.9935
4 Br 0.1952 0.1952 0.0860

***

Record 16
Here is a relaxed structure of IrPb3Br from Alexandria via LeMat-Bulk. Energies are from GGA-PBE.

- excess energy over the best structure of this formula in the dataset (eV per atom) = 1.2176
- raw formation energy (eV per atom) = 1.26

Unit cell a=5.5436 b=5.5436 c=5.5436 alpha=90.00 beta=90.00 gamma=90.00
Element x y z (fractional)
1 Pb 0.0000 0.5000 0.0000
2 Pb 0.0000 0.0000 0.5000
3 Pb 0.5000 0.0000 0.0000
4 Ir 0.5000 0.5000 0.5000
5 Br 0.0000 0.0000 0.0000

***

Record 17
Here is a relaxed structure of IrPbBr2 from Alexandria via LeMat-Bulk. Energies are from GGA-PBE.

- excess energy over the best structure of this formula in the dataset (eV per atom) = 0.6741
- raw formation energy (eV per atom) = 0.72

Unit cell a=5.0767 b=5.0767 c=5.0767 alpha=60.00 beta=60.00 gamma=60.00
Element x y z (fractional)
1 Pb 0.2500 0.2500 0.2500
2 Ir 0.5000 0.5000 0.5000
3 Br 0.0000 0.0000 0.0000
4 Br 0.7500 0.7500 0.7500

***

Record 18
Here is a relaxed structure of IrPbBr2 from Alexandria via LeMat-Bulk. Energies are from GGA-PBE.

- excess energy over the best structure of this formula in the dataset (eV per atom) = 0.4333
- raw formation energy (eV per atom) = 0.47

Unit cell a=5.0583 b=5.0583 c=9.3082 alpha=74.23 beta=74.23 gamma=90.00
Element x y z (fractional)
1 Pb 0.0000 0.0000 0.0000
2 Pb 0.7500 0.2500 0.5000
3 Ir 0.5000 0.5000 0.0000
4 Ir 0.2500 0.7500 0.5000
5 Br 0.5552 0.1250 0.2500
6 Br 0.1948 0.6250 0.2500
7 Br 0.3750 0.4448 0.7500
8 Br 0.8750 0.8052 0.7500

***

Record 19
Here is a relaxed structure of IrPbBr2 from Alexandria via LeMat-Bulk. Energies are from GGA-PBE.

- excess energy over the best structure of this formula in the dataset (eV per atom) = 0.1182
- raw formation energy (eV per atom) = 0.16

Unit cell a=8.2084 b=8.2084 c=8.2084 alpha=28.09 beta=28.09 gamma=28.09
Element x y z (fractional)
1 Pb 0.7690 0.7690 0.7690
2 Ir 0.5004 0.5004 0.5004
3 Br 0.0130 0.0130 0.0130
4 Br 0.2176 0.2176 0.2176

***

Record 20
Here is a relaxed structure of IrPbBr2 from Alexandria via LeMat-Bulk. Energies are from GGA-PBE.

- excess energy over the best structure of this formula in the dataset (eV per atom) = 0.6358
- raw formation energy (eV per atom) = 0.68

Unit cell a=5.1137 b=5.1137 c=5.1137 alpha=60.00 beta=60.00 gamma=60.00
Element x y z (fractional)
1 Pb 0.5000 0.5000 0.5000
2 Ir 0.0000 0.0000 0.0000
3 Br 0.2500 0.2500 0.2500
4 Br 0.7500 0.7500 0.7500

***

Record 21
Here is a relaxed structure of IrPbBr2 from Alexandria via LeMat-Bulk. Energies are from GGA-PBE.

- excess energy over the best structure of this formula in the dataset (eV per atom) = 0.5204
- raw formation energy (eV per atom) = 0.56

Unit cell a=5.5627 b=5.7185 c=3.7024 alpha=72.52 beta=87.24 gamma=118.09
Element x y z (fractional)
1 Pb 0.5000 0.5000 0.0000
2 Ir 0.0000 0.5000 0.5000
3 Br 0.0000 0.0000 0.0000
4 Br 0.5000 0.0000 0.5000

***

Record 22
Here is a relaxed structure of IrPbBr3 from Alexandria via LeMat-Bulk. Energies are from GGA-PBE.

- excess energy over the best structure of this formula in the dataset (eV per atom) = 0.0000
- raw formation energy (eV per atom) = 0.07

Unit cell a=5.1210 b=5.1210 c=5.1210 alpha=90.00 beta=90.00 gamma=90.00
Element x y z (fractional)
1 Pb 0.5000 0.5000 0.5000
2 Ir 0.0000 0.0000 0.0000
3 Br 0.0000 0.5000 0.0000
4 Br 0.0000 0.0000 0.5000
5 Br 0.5000 0.0000 0.0000

***

Record 23
Here is a relaxed structure of IrPb2Br from Alexandria via LeMat-Bulk. Energies are from GGA-PBE.

- excess energy over the best structure of this formula in the dataset (eV per atom) = 0.4046
- raw formation energy (eV per atom) = 0.37

Unit cell a=5.4217 b=5.4217 c=5.4217 alpha=130.89 beta=116.48 gamma=84.23
Element x y z (fractional)
1 Pb 0.0359 0.0359 0.0000
2 Pb 0.4641 0.4641 0.0000
3 Ir 0.2500 0.7500 0.5000
4 Br 0.7500 0.2500 0.5000

***

Record 24
Here is a relaxed structure of IrPb2Br from Alexandria via LeMat-Bulk. Energies are from GGA-PBE.

- excess energy over the best structure of this formula in the dataset (eV per atom) = 0.4226
- raw formation energy (eV per atom) = 0.39

Unit cell a=5.1627 b=5.1627 c=5.1627 alpha=60.00 beta=60.00 gamma=60.00
Element x y z (fractional)
1 Pb 0.2500 0.2500 0.2500
2 Pb 0.7500 0.7500 0.7500
3 Ir 0.5000 0.5000 0.5000
4 Br 0.0000 0.0000 0.0000

***

Record 25
Here is a relaxed structure of Ir2PbBr from Alexandria via LeMat-Bulk. Energies are from GGA-PBE.

- excess energy over the best structure of this formula in the dataset (eV per atom) = 0.3900
- raw formation energy (eV per atom) = 0.84

Unit cell a=3.0429 b=5.3095 c=4.7027 alpha=90.00 beta=90.00 gamma=90.00
Element x y z (fractional)
1 Pb 0.5000 0.0000 0.5000
2 Ir 0.0000 0.0000 0.0000
3 Ir 0.5000 0.5000 0.0000
4 Br 0.0000 0.5000 0.5000

***

Record 26
Here is a relaxed structure of Ir2PbBr from Alexandria via LeMat-Bulk. Energies are from GGA-PBE.

- excess energy over the best structure of this formula in the dataset (eV per atom) = 0.1192
- raw formation energy (eV per atom) = 0.57

Unit cell a=10.3284 b=10.3284 c=10.3284 alpha=17.36 beta=17.36 gamma=17.36
Element x y z (fractional)
1 Pb 0.5175 0.5175 0.5175
2 Ir 0.9936 0.9936 0.9936
3 Ir 0.2633 0.2633 0.2633
4 Br 0.7257 0.7257 0.7257

***

Record 27
Here is a relaxed structure of IrPb2Br from Alexandria via LeMat-Bulk. Energies are from GGA-PBE.

- excess energy over the best structure of this formula in the dataset (eV per atom) = 0.1133
- raw formation energy (eV per atom) = 0.08

Unit cell a=8.3263 b=8.3263 c=8.3263 alpha=154.65 beta=152.77 gamma=37.55
Element x y z (fractional)
1 Pb 0.0706 0.0706 0.0000
2 Pb 0.7680 0.2680 0.5000
3 Ir 0.2073 0.7073 0.5000
4 Br 0.4541 0.4541 0.0000

***

Record 28
Here is a relaxed structure of Ir2PbBr from Alexandria via LeMat-Bulk. Energies are from GGA-PBE.

- excess energy over the best structure of this formula in the dataset (eV per atom) = 0.4931
- raw formation energy (eV per atom) = 0.94

Unit cell a=3.2017 b=3.6630 c=6.6503 alpha=90.00 beta=90.00 gamma=90.00
Element x y z (fractional)
1 Pb 0.5000 0.5000 0.2500
2 Ir 0.0000 0.0000 0.0340
3 Ir 0.0000 0.0000 0.4660
4 Br 0.5000 0.5000 0.7500

***

Record 29
Here is a relaxed structure of Ir2PbBr from Alexandria via LeMat-Bulk. Energies are from GGA-PBE.

- excess energy over the best structure of this formula in the dataset (eV per atom) = 0.5362
- raw formation energy (eV per atom) = 0.99

Unit cell a=5.5642 b=5.5642 c=5.5642 alpha=138.35 beta=138.35 gamma=60.37
Element x y z (fractional)
1 Pb 0.5000 0.5000 0.0000
2 Ir 0.0000 0.0000 0.0000
3 Ir 0.2500 0.7500 0.5000
4 Br 0.7500 0.2500 0.5000

***

Record 30
Here is a relaxed structure of IrPbBr2 from Alexandria via LeMat-Bulk. Energies are from GGA-PBE.

- excess energy over the best structure of this formula in the dataset (eV per atom) = 0.4993
- raw formation energy (eV per atom) = 0.54

Unit cell a=3.4080 b=5.9686 c=4.6796 alpha=90.00 beta=90.00 gamma=90.00
Element x y z (fractional)
1 Pb 0.0000 0.5000 0.5000
2 Ir 0.5000 0.0000 0.5000
3 Br 0.0000 0.0000 0.0000
4 Br 0.5000 0.5000 0.0000